Entry 1:
Density functional theory data (PBE) for a relaxed structure of Tb2IrBr.

Structure (extended XYZ):
```
4
Lattice="4.0679 0.0000 0.0000 2.0339 3.5229 0.0000 2.0339 1.1743 7.5964" Properties=species:S:1:pos:R:3 pbc="T T T"
Tb 2.0339 1.1743 1.4518
Br 4.0679 2.3486 3.7982
Ir 0.0000 0.0000 0.0000
Tb 6.1018 3.5229 6.1446
```

## Properties
As for the uncorrected formation energy: -1.1201 eV per atom. The calculated total energy is -0.44604 Ry per atom. The value obtained for the relative energy among the computed polymorphs is 0.000 eV per atom.

---

Entry 2:
Density functional theory data (PBE) for a relaxed structure of Tb2IrBr.

Structure (extended XYZ):
```
4
Lattice="4.0700 0.0000 0.0000 2.0350 3.5247 0.0000 2.0350 1.1749 7.6746" Properties=species:S:1:pos:R:3 pbc="T T T"
Tb 2.0350 1.1749 6.1961
Ir 6.1050 3.5247 7.6542
Br 4.0700 2.3498 3.9182
Tb 2.0350 1.1749 1.4179
```

## Properties
As for the uncorrected formation energy: -1.0992 eV per atom. The calculated total energy is -0.44450 Ry per atom. The value obtained for the relative energy among the computed polymorphs is 0.021 eV per atom.

---

Entry 3:
Density functional theory data (PBE) for a relaxed structure of Tb2IrBr.

Structure (extended XYZ):
```
4
Lattice="-2.3543 2.4307 -0.4965 -2.0464 -1.5159 2.2829 3.3700 4.4902 6.0025" Properties=species:S:1:pos:R:3 pbc="T T T"
Ir -2.2004 0.4574 0.8932
Tb 2.6759 3.5654 4.7662
Br -0.5154 2.7025 3.8944
Tb 0.6941 0.9248 1.2363
```

## Properties
As for the uncorrected formation energy: -0.9349 eV per atom. The calculated total energy is -0.43243 Ry per atom. The value obtained for the relative energy among the computed polymorphs is 0.185 eV per atom.

---

Entry 4:
Density functional theory data (PBE) for a relaxed structure of TbIrBr.

Structure (extended XYZ):
```
6
Lattice="-0.0602 -2.7286 -4.6099 -1.2531 -3.6035 -0.9636 -10.8395 0.2884 -3.1421" Properties=species:S:1:pos:R:3 pbc="T T T"
Br -9.9966 -4.2157 -6.7129
Tb -8.0248 -3.0331 -4.3257
Tb -4.1279 -3.0106 -4.3899
Ir -4.8049 -1.4716 -2.1792
Ir -7.3478 -4.5721 -6.5365
Br -2.1562 -1.8280 -2.0027
```

## Properties
As for the uncorrected formation energy: -0.8399 eV per atom. The calculated total energy is -0.43325 Ry per atom. The value obtained for the relative energy among the computed polymorphs is 0.417 eV per atom.

---

Entry 5:
Density functional theory data (PBE) for a relaxed structure of TbIrBr.

Structure (extended XYZ):
```
6
Lattice="4.2138 0.0000 0.7602 2.0383 3.6880 0.7602 0.1562 0.0922 11.1924" Properties=species:S:1:pos:R:3 pbc="T T T"
Ir 1.1108 0.6552 5.9016
Tb 2.8810 1.6995 8.1477
Ir 5.2976 3.1249 6.8112
Br 4.6474 2.7414 10.4151
Br 1.7609 1.0387 2.2978
Tb 3.5273 2.0807 4.5652
```

## Properties
As for the uncorrected formation energy: -1.2569 eV per atom. The calculated total energy is -0.46389 Ry per atom. The value obtained for the relative energy among the computed polymorphs is 0.000 eV per atom.

---

Entry 6:
Density functional theory data (PBE) for a relaxed structure of Tb4Te2IrBr.

Structure (extended XYZ):
```
8
Lattice="4.1494 0.0000 0.0000 0.0000 7.5946 -0.2878 0.0000 2.5483 7.1091" Properties=species:S:1:pos:R:3 pbc="T T T"
Br 2.0748 6.3456 6.9652
Tb 2.0747 4.0273 4.9317
Tb 4.1494 2.7413 1.8744
Te 0.0000 2.5483 7.1091
Te 2.0747 1.2741 3.5546
Tb 0.0001 7.4015 4.9470
Tb 2.0748 6.1155 1.8896
Ir 0.0000 5.0714 3.4107
```

## Properties
As for the uncorrected formation energy: -1.1618 eV per atom. The calculated total energy is -0.41006 Ry per atom.

---

Entry 7:
Density functional theory data (PBE) for a relaxed structure of TcIr2Br.

Structure (extended XYZ):
```
4
Lattice="-3.1969 -0.8653 -1.4154 -0.7378 -1.2283 2.4174 -2.6616 6.0956 2.2851" Properties=species:S:1:pos:R:3 pbc="T T T"
Ir -0.7153 -0.5502 1.9519
Ir -1.7222 1.7555 2.8167
Br -4.1480 3.2178 2.8191
Tc -2.4483 0.7842 0.4679
```

## Properties
As for the uncorrected formation energy: 0.4948 eV per atom. The calculated total energy is -0.51048 Ry per atom. The value obtained for the relative energy among the computed polymorphs is 0.033 eV per atom.

---

Entry 8:
Density functional theory data (PBE) for a relaxed structure of TcIr2Br.

Structure (extended XYZ):
```
4
Lattice="4.8747 -0.0173 0.0000 -1.7025 4.5678 0.0000 0.0000 0.0000 2.8135" Properties=species:S:1:pos:R:3 pbc="T T T"
Ir 0.0000 0.0000 0.0000
Ir 1.5861 2.2753 0.0000
Br -0.8512 2.2839 1.4067
Tc 2.4374 -0.0086 1.4067
```

## Properties
As for the uncorrected formation energy: 0.9453 eV per atom. The calculated total energy is -0.47736 Ry per atom. The value obtained for the relative energy among the computed polymorphs is 0.484 eV per atom.

---

Entry 9:
Density functional theory data (PBE) for a relaxed structure of TcIr2Br.

Structure (extended XYZ):
```
4
Lattice="-7.7387 4.6699 -0.5952 -8.4974 2.3411 -2.0887 -8.7154 2.3446 0.7716" Properties=species:S:1:pos:R:3 pbc="T T T"
Br -6.0564 2.2708 -0.4642
Tc -12.4491 4.6678 -0.9542
Ir -18.8032 7.0503 -1.4412
Ir -0.1186 0.0445 -0.0091
```

## Properties
As for the uncorrected formation energy: 0.5634 eV per atom. The calculated total energy is -0.50544 Ry per atom. The value obtained for the relative energy among the computed polymorphs is 0.102 eV per atom.

---

Entry 10:
Density functional theory data (PBE) for a relaxed structure of TcIr2Br.

Structure (extended XYZ):
```
4
Lattice="-4.6940 -0.5401 -0.9256 -1.0876 -4.6397 0.6872 2.2900 3.1348 2.8479" Properties=species:S:1:pos:R:3 pbc="T T T"
Br -2.6474 0.0024 0.9015
Ir -2.8908 -2.5899 -0.1192
Tc -0.8442 -2.0474 1.7079
Ir 0.0000 0.0000 0.0000
```

## Properties
As for the uncorrected formation energy: 0.9944 eV per atom. The calculated total energy is -0.47376 Ry per atom. The value obtained for the relative energy among the computed polymorphs is 0.533 eV per atom.

---

Entry 11:
Density functional theory data (PBE) for a relaxed structure of TcIr4Br.

Structure (extended XYZ):
```
6
Lattice="-1.3011 -4.9371 -1.1307 -5.0335 -1.3311 -0.4882 -1.9484 -1.1778 -4.7078" Properties=species:S:1:pos:R:3 pbc="T T T"
Ir -3.1092 -2.7950 -2.3748
Ir -4.0805 -3.3821 -4.7219
Br 0.0000 0.0000 0.0000
Ir -5.6186 -3.4586 -2.6182
Tc -6.2123 -5.5845 -4.7450
Ir -3.7578 -5.2563 -2.9385
```

## Properties
As for the uncorrected formation energy: 1.0444 eV per atom. The calculated total energy is -0.50489 Ry per atom.

---

Entry 12:
Density functional theory data (PBE) for a relaxed structure of TcIr2Br.

Structure (extended XYZ):
```
4
Lattice="-0.0862 2.0308 -1.8985 0.8620 -2.3972 -2.6034 -7.0062 -1.3253 -1.0996" Properties=species:S:1:pos:R:3 pbc="T T T"
Ir -0.5122 -0.0969 -0.0804
Br -4.6898 -1.1437 -3.0479
Ir -1.4521 -0.5313 -2.5398
Tc -3.0794 -0.5825 -0.4833
```

## Properties
As for the uncorrected formation energy: 0.6666 eV per atom. The calculated total energy is -0.49785 Ry per atom. The value obtained for the relative energy among the computed polymorphs is 0.205 eV per atom.

---

Entry 13:
Density functional theory data (PBE) for a relaxed structure of TcIr2Br.

Structure (extended XYZ):
```
4
Lattice="6.0817 0.0361 -0.0100 3.8185 4.7337 0.0100 -4.4622 -3.3977 2.3524" Properties=species:S:1:pos:R:3 pbc="T T T"
Tc 5.2906 2.5489 0.0000
Ir 9.5415 4.5970 0.0000
Br 2.3015 1.9319 1.1812
Ir 3.1549 -0.5509 1.1712
```

## Properties
As for the uncorrected formation energy: 0.8123 eV per atom. The calculated total energy is -0.48714 Ry per atom. The value obtained for the relative energy among the computed polymorphs is 0.350 eV per atom.

---

Entry 14:
Density functional theory data (PBE) for a relaxed structure of TcIr2Br.

Structure (extended XYZ):
```
4
Lattice="5.1185 -0.0111 -0.0007 4.3181 2.7483 -0.0007 0.2402 0.0697 4.4941" Properties=species:S:1:pos:R:3 pbc="T T T"
Tc 7.2577 2.1051 3.3695
Ir 4.5979 1.3336 2.3194
Br 2.4192 0.7017 1.1232
Ir 0.4808 0.1395 4.4211
```

## Properties
As for the uncorrected formation energy: 0.6849 eV per atom. The calculated total energy is -0.49651 Ry per atom. The value obtained for the relative energy among the computed polymorphs is 0.223 eV per atom.

---

Entry 15:
Density functional theory data (PBE) for a relaxed structure of TcIr2Br.

Structure (extended XYZ):
```
4
Lattice="2.8388 0.0000 0.0000 0.0000 2.8388 0.0000 0.0000 0.0000 8.2750" Properties=species:S:1:pos:R:3 pbc="T T T"
Br 1.4194 1.4194 5.8049
Ir 1.4194 1.4194 2.2219
Tc 0.0000 0.0000 4.0292
Ir 0.0000 0.0000 0.3566
```

## Properties
As for the uncorrected formation energy: 0.6069 eV per atom. The calculated total energy is -0.50224 Ry per atom. The value obtained for the relative energy among the computed polymorphs is 0.145 eV per atom.